1.
This record from Alexandria via LeMat-Bulk describes Nd2ErPuO8 after structural relaxation. The functional is GGA-PBE.

Values from the calculation:
As for the uncorrected formation energy: -3.00 eV/atom. For the theoretical density, the calculation gives 8.26 g cm⁻³. Its density of states at the Fermi level is 1.4 states/eV/f.u.

abc: 3.999 5.552 7.539
angles: 88.27 89.57 83.82
Space group P-1 (No. 2)
Unique sites:
1 Nd 0.000 0.013 0.240
2 Er 0.500 0.500 0.000
3 Pu 0.500 0.500 0.500
4 O 0.018 0.744 0.012
5 O 0.074 0.715 0.503
6 O 0.448 0.282 0.715
7 O 0.459 0.261 0.267

2.
This record from Alexandria via LeMat-Bulk describes NdErPuO6 after structural relaxation. The functional is GGA-PBE.

Values from the calculation:
As for the uncorrected formation energy: -3.06 eV/atom. For the theoretical density, the calculation gives 7.74 g cm⁻³. Its density of states at the Fermi level is 7.6 states/eV/f.u.

abc: 5.7379 5.7379 9.8088
angles: 90.00 90.00 120.00
Space group P-31c (No. 163)
Unique sites:
1 Nd 0.0000 0.0000 0.0000
2 Er 0.3333 0.6667 0.2500
3 Pu 0.3333 0.6667 0.7500
4 O 0.0227 0.3636 0.6374

3.
This record from Alexandria via LeMat-Bulk describes NdEr2ReO8 after structural relaxation. The functional is GGA-PBE.

Values from the calculation:
As for the uncorrected formation energy: -2.77 eV/atom. For the theoretical density, the calculation gives 7.56 g cm⁻³.

abc: 7.116 7.160 6.836
angles: 90.00 90.00 90.00
Space group Cmmm (No. 65)
Unique sites:
1 Nd 0.000 0.000 0.000
2 Er 0.000 0.500 0.248
3 Re 0.000 0.000 0.500
4 O 0.000 0.266 0.500
5 O 0.000 0.316 0.000
6 O 0.185 0.000 0.298

4.
This record from Alexandria via LeMat-Bulk describes NdErSO2 after structural relaxation. The functional is GGA-PBE.

Values from the calculation:
As for the uncorrected formation energy: -3.08 eV/atom. For the theoretical density, the calculation gives 6.61 g cm⁻³. Its density of states at the Fermi level is 0.0 states/eV/f.u.

abc: 6.475 4.057 7.617
angles: 90.00 109.52 90.00
Space group P2_1/m (No. 11)
Unique sites:
1 Nd 0.197 0.250 0.433
2 Er 0.178 0.250 0.927
3 S 0.459 0.750 0.744
4 O 0.015 0.750 0.369
5 O 0.024 0.750 0.891

5.
This record from Alexandria via LeMat-Bulk describes Nd2ErS2O2 after structural relaxation. The functional is GGA-PBE.

Values from the calculation:
As for the uncorrected formation energy: -2.48 eV/atom. For the theoretical density, the calculation gives 6.75 g cm⁻³. Its density of states at the Fermi level is 2.1 states/eV/f.u.

abc: 4.254 4.254 15.009
angles: 90.00 90.00 90.00
Space group I4/mmm (No. 139)
Unique sites:
1 Nd 0.000 0.000 0.133
2 Er 0.000 0.000 0.500
3 S 0.000 0.000 0.322
4 O 0.000 0.500 0.000

6.
This record from Alexandria via LeMat-Bulk describes NdErS2O after structural relaxation. The functional is GGA-PBE.

Values from the calculation:
As for the uncorrected formation energy: -2.49 eV/atom. For the theoretical density, the calculation gives 6.05 g cm⁻³. Its density of states at the Fermi level is 0.7 states/eV/f.u.

abc: 3.929 3.929 13.920
angles: 90.00 90.00 90.00
Space group P4/nmm (No. 129, origin choice 2)
Unique sites:
1 Nd 0.250 0.250 0.089
2 Er 0.250 0.250 0.620
3 S 0.250 0.250 0.410
4 S 0.250 0.250 0.798
5 O 0.250 0.750 0.000

7.
This record from Alexandria via LeMat-Bulk describes NdErSbO2 after structural relaxation. The functional is GGA-PBE.

Values from the calculation:
As for the uncorrected formation energy: -2.65 eV/atom. For the theoretical density, the calculation gives 7.47 g cm⁻³. Its density of states at the Fermi level is 1.5 states/eV/f.u.

abc: 3.907 3.907 13.559
angles: 90.00 90.00 90.00
Space group I4mm (No. 107)
Unique sites:
1 Nd 0.000 0.000 0.000
2 Er 0.000 0.000 0.330
3 Sb 0.000 0.000 0.667
4 O 0.000 0.500 0.407

8.
This record from Alexandria via LeMat-Bulk describes Nd2ErScO6 after structural relaxation. The functional is GGA-PBE.

Values from the calculation:
As for the uncorrected formation energy: -3.46 eV/atom. For the theoretical density, the calculation gives 7.06 g cm⁻³. Its density of states at the Fermi level is 0.0 states/eV/f.u.

abc: 5.699 5.946 10.024
angles: 90.00 124.29 90.00
Space group P2_1/c (No. 14)
Unique sites:
1 Nd 0.232 0.056 0.251
2 Er 0.500 0.000 0.000
3 Sc 0.000 0.000 0.500
4 O 0.121 0.203 0.932
5 O 0.233 0.691 0.935
6 O 0.368 0.054 0.743

9.
This record from Alexandria via LeMat-Bulk describes NdErSe2O after structural relaxation. The functional is GGA-PBE.

Values from the calculation:
As for the uncorrected formation energy: -2.38 eV/atom. For the theoretical density, the calculation gives 6.81 g cm⁻³. Its density of states at the Fermi level is 1.0 states/eV/f.u.

abc: 4.036 4.036 14.528
angles: 90.00 90.00 90.00
Space group P4/nmm (No. 129, origin choice 2)
Unique sites:
1 Nd 0.250 0.250 0.082
2 Er 0.250 0.250 0.623
3 Se 0.250 0.250 0.411
4 Se 0.250 0.250 0.802
5 O 0.250 0.750 0.000

10.
This record from Alexandria via LeMat-Bulk describes NdErSeO2 after structural relaxation. The functional is GGA-PBE.

Values from the calculation:
As for the uncorrected formation energy: -3.06 eV/atom. For the theoretical density, the calculation gives 7.10 g cm⁻³. Its density of states at the Fermi level is 0.0 states/eV/f.u.

abc: 6.613 4.079 7.717
angles: 90.00 108.38 90.00
Space group P2_1/m (No. 11)
Unique sites:
1 Nd 0.190 0.250 0.429
2 Er 0.170 0.250 0.921
3 Se 0.454 0.750 0.748
4 O 0.016 0.750 0.370
5 O 0.018 0.750 0.889

11.
This record from Alexandria via LeMat-Bulk describes Nd4Er2Sn3O2 after structural relaxation. The functional is GGA-PBE.

Values from the calculation:
As for the uncorrected formation energy: -1.45 eV/atom. For the theoretical density, the calculation gives 7.39 g cm⁻³. Its density of states at the Fermi level is 5.3 states/eV/f.u.

abc: 4.802 4.802 25.329
angles: 90.00 90.00 90.00
Space group I4/mmm (No. 139)
Unique sites:
1 Nd 0.000 0.500 0.084
2 Er 0.000 0.000 0.195
3 Sn 0.000 0.000 0.319
4 Sn 0.000 0.000 0.500
5 O 0.000 0.000 0.107

12.
This record from Alexandria via LeMat-Bulk describes Nd2Er4Sn3O2 after structural relaxation. The functional is GGA-PBE.

Values from the calculation:
As for the uncorrected formation energy: -1.54 eV/atom. For the theoretical density, the calculation gives 8.21 g cm⁻³. Its density of states at the Fermi level is 7.8 states/eV/f.u.

abc: 4.631 4.631 25.381
angles: 90.00 90.00 90.00
Space group I4/mmm (No. 139)
Unique sites:
1 Nd 0.000 0.000 0.195
2 Er 0.000 0.500 0.082
3 Sn 0.000 0.000 0.326
4 Sn 0.000 0.000 0.500
5 O 0.000 0.000 0.091

13.
This record from Alexandria via LeMat-Bulk describes NdEr2TcO8 after structural relaxation. The functional is GGA-PBE.

Values from the calculation:
As for the uncorrected formation energy: -2.61 eV/atom. For the theoretical density, the calculation gives 6.73 g cm⁻³.

abc: 5.048 6.815 5.051
angles: 90.00 90.35 90.00
Space group P2/m (No. 10)
Unique sites:
1 Nd 0.000 0.000 0.000
2 Er 0.500 0.249 0.500
3 Tc 0.000 0.500 0.000
4 O 0.186 0.298 0.185
5 O 0.266 0.500 0.732
6 O 0.316 0.000 0.683

14.
This record from Alexandria via LeMat-Bulk describes NdErTe2O8 after structural relaxation. The functional is GGA-PBE.

Values from the calculation:
As for the uncorrected formation energy: -1.93 eV/atom. For the theoretical density, the calculation gives 6.01 g cm⁻³. Its density of states at the Fermi level is 1.8 states/eV/f.u.

abc: 7.459 7.459 6.898
angles: 90.00 90.00 90.00
Space group I-4m2 (No. 119)
Unique sites:
1 Nd 0.000 0.000 0.000
2 Er 0.000 0.500 0.750
3 Te 0.000 0.000 0.500
4 Te 0.000 0.500 0.250
5 O 0.000 0.191 0.699
6 O 0.000 0.321 0.050

15.
This record from Alexandria via LeMat-Bulk describes NdEr2TeO8 after structural relaxation. The functional is GGA-PBE.

Values from the calculation:
As for the uncorrected formation energy: -2.50 eV/atom. For the theoretical density, the calculation gives 6.97 g cm⁻³. Its density of states at the Fermi level is 4.2 states/eV/f.u.

abc: 4.995 7.015 4.996
angles: 90.00 90.58 90.00
Space group P2/m (No. 10)
Unique sites:
1 Nd 0.000 0.000 0.000
2 Er 0.500 0.261 0.500
3 Te 0.000 0.500 0.000
4 O 0.185 0.294 0.814
5 O 0.279 0.500 0.278
6 O 0.323 0.000 0.322

16.
This record from Alexandria via LeMat-Bulk describes NdErTe2O after structural relaxation. The functional is GGA-PBE.

Values from the calculation:
As for the uncorrected formation energy: -2.05 eV/atom. For the theoretical density, the calculation gives 6.98 g cm⁻³. Its density of states at the Fermi level is 1.4 states/eV/f.u.

abc: 4.207 4.207 15.672
angles: 90.00 90.00 90.00
Space group P4/nmm (No. 129, origin choice 2)
Unique sites:
1 Nd 0.250 0.250 0.071
2 Er 0.250 0.250 0.627
3 Te 0.250 0.250 0.415
4 Te 0.250 0.250 0.808
5 O 0.250 0.750 0.000

17.
This record from Alexandria via LeMat-Bulk describes NdErTl2O6 after structural relaxation. The functional is GGA-PBE.

Values from the calculation:
As for the uncorrected formation energy: -2.04 eV/atom. For the theoretical density, the calculation gives 8.77 g cm⁻³.

abc: 5.8815 5.8815 15.4717
angles: 90.00 90.00 120.00
Space group R3 (No. 146, hexagonal axes)
Unique sites:
1 Nd 0.0000 0.0000 0.0000
2 Er 0.0000 0.0000 0.4935
3 Tl 0.0000 0.0000 0.2758
4 Tl 0.0000 0.0000 0.7798
5 O 0.0110 0.7197 0.3915
6 O 0.0353 0.3631 0.5551

18.
This record from Alexandria via LeMat-Bulk describes NdEr2UO8 after structural relaxation. The functional is GGA-PBE.

Values from the calculation:
As for the uncorrected formation energy: -3.26 eV/atom. For the theoretical density, the calculation gives 8.91 g cm⁻³. Its density of states at the Fermi level is 3.6 states/eV/f.u.

abc: 3.894 5.300 7.630
angles: 90.00 90.00 90.00
Space group Pmmm (No. 47)
Unique sites:
1 Nd 0.000 0.000 0.000
2 Er 0.500 0.500 0.261
3 U 0.000 0.000 0.500
4 O 0.000 0.245 0.276
5 O 0.500 0.234 0.500
6 O 0.500 0.271 0.000